1.
An optimized crystal structure of MnCd2As, computed with PBEsol.

abc: 7.2177 7.2177 7.2177
angles: 157.85 149.65 37.90
Closest atoms and distances in Å follow each position.
Element x y z (fractional)
Mn 0.0000 0.0000 0.0000  4 As 2.34
Cd 0.1807 0.6807 0.5000  6 Cd 2.77-3.01, 2 Mn 2.83
Cd 0.8193 0.3193 0.5000  6 Cd 2.77-3.01, 2 Mn 2.83
As 0.5000 0.5000 0.0000  4 Mn 2.34

Properties
- size of the total moment (μB/atom) = 0.183

***

2.
An optimized crystal structure of AlOsRu2, computed with PBEsol.

abc: 4.3693 4.3693 2.8654
angles: 90.00 90.00 90.00
Closest atoms and distances in Å follow each position.
Element x y z (fractional)
Al 0.0000 0.0000 0.0000  8 Ru 2.61, 2 Al 2.87
Os 0.5000 0.5000 0.0000  8 Ru 2.61, 2 Os 2.87
Ru 0.0000 0.5000 0.5000  4 Os 2.61, 4 Al 2.61, 2 Ru 2.87
Ru 0.5000 0.0000 0.5000  4 Os 2.61, 4 Al 2.61, 2 Ru 2.87

Properties
- size of the total moment (μB/atom) = 0.002

***

3.
An optimized crystal structure of SrTcCl2, computed with PBEsol.

abc: 8.3430 8.3430 8.3430
angles: 25.95 25.95 25.95
Closest atoms and distances in Å follow each position.
Element x y z (fractional)
Sr 0.0000 0.0000 0.0000  3 Cl 2.81
Tc 0.7733 0.7733 0.7733  3 Cl 2.28
Cl 0.2592 0.2592 0.2592  3 Sr 2.81
Cl 0.4692 0.4692 0.4692  3 Tc 2.28

Properties
- energy above the most stable polymorph in this dataset (meV/atom) = 78
- size of the total moment (μB/atom) = 0.000
- formation energy from raw total energies (eV/atom) = -0.4759

***

4.
An optimized crystal structure of TiSi2Tc2, computed with PBEsol.

abc: 6.7811 6.7811 2.9753
angles: 90.00 90.00 90.00
Closest atoms and distances in Å follow each position.
Element x y z (fractional)
Ti 0.0000 0.0000 0.0000  4 Si 2.63
Ti 0.5000 0.5000 0.0000  4 Si 2.63
Si 0.1379 0.3621 0.0000  6 Tc 2.48-2.49, 2 Ti 2.63, 1 Si 2.64
Si 0.3621 0.8621 0.0000  6 Tc 2.48-2.49, 2 Ti 2.63, 1 Si 2.64
Si 0.6379 0.1379 0.0000  6 Tc 2.48-2.49, 2 Ti 2.63, 1 Si 2.64
Si 0.8621 0.6379 0.0000  6 Tc 2.48-2.49, 2 Ti 2.63, 1 Si 2.64
Tc 0.1558 0.6558 0.5000  6 Si 2.48-2.49
Tc 0.3442 0.1558 0.5000  6 Si 2.48-2.49
Tc 0.6558 0.8442 0.5000  6 Si 2.48-2.49
Tc 0.8442 0.3442 0.5000  6 Si 2.48-2.49

Properties
- size of the total moment (μB/atom) = 0.000
- formation energy from raw total energies (eV/atom) = -0.5548

***

5.
An optimized crystal structure of Tl2SbIr, computed with PBEsol.

abc: 6.1580 6.1580 4.0429
angles: 108.45 108.45 125.31
Closest atoms and distances in Å follow each position.
Element x y z (fractional)
Tl 0.0000 0.5000 0.0000  4 Tl 2.83-2.93, 2 Sb 3.10, 2 Ir 3.10
Tl 0.5000 0.0000 0.0000  4 Tl 2.83-2.93, 2 Sb 3.10, 2 Ir 3.10
Sb 0.0000 0.0000 0.5000  4 Ir 2.83-2.93, 4 Tl 3.10
Ir 0.5000 0.5000 0.5000  4 Sb 2.83-2.93, 4 Tl 3.10

Properties
- energy above the most stable polymorph in this dataset (meV/atom) = 406
- size of the total moment (μB/atom) = 0.000
- formation energy from raw total energies (eV/atom) = 0.5227

***

6.
An optimized crystal structure of Sc2P3H3O9, computed with PBEsol.

abc: 8.3451 8.3451 7.7187
angles: 90.00 90.00 120.00
Closest atoms and distances in Å follow each position.
Element x y z (fractional)
Sc 0.3333 0.6667 0.0462  6 O 2.01-2.19
Sc 0.3333 0.6667 0.4538  6 O 2.01-2.19
Sc 0.6667 0.3333 0.5462  6 O 2.01-2.19
Sc 0.6667 0.3333 0.9538  6 O 2.01-2.19
P 0.0430 0.6895 0.7500  1 H 1.41, 3 O 1.53-1.55
P 0.3105 0.3535 0.7500  1 H 1.41, 3 O 1.53-1.55
P 0.3535 0.0430 0.2500  1 H 1.41, 3 O 1.53-1.55
P 0.6465 0.9570 0.7500  1 H 1.41, 3 O 1.53-1.55
P 0.6895 0.6465 0.2500  1 H 1.41, 3 O 1.53-1.55
P 0.9570 0.3105 0.2500  1 H 1.41, 3 O 1.53-1.55
H 0.0072 0.1721 0.2500  1 P 1.41
H 0.1649 0.9928 0.2500  1 P 1.41
H 0.1721 0.1649 0.7500  1 P 1.41
H 0.8279 0.8351 0.2500  1 P 1.41
H 0.8351 0.0072 0.7500  1 P 1.41
H 0.9928 0.8279 0.7500  1 P 1.41
O 0.1394 0.4992 0.2500  1 P 1.55
O 0.1526 0.7144 0.5843  1 P 1.53
O 0.1526 0.7144 0.9157  1 P 1.53
O 0.2856 0.4382 0.5843  1 P 1.53
O 0.2856 0.4382 0.9157  1 P 1.53
O 0.3598 0.8606 0.2500  1 P 1.55
O 0.4382 0.1526 0.0843  1 P 1.53
O 0.4382 0.1526 0.4157  1 P 1.53
O 0.4992 0.3598 0.7500  1 P 1.55
O 0.5008 0.6402 0.2500  1 P 1.55
O 0.5618 0.8474 0.5843  1 P 1.53
O 0.5618 0.8474 0.9157  1 P 1.53
O 0.6402 0.1394 0.7500  1 P 1.55
O 0.7144 0.5618 0.0843  1 P 1.53
O 0.7144 0.5618 0.4157  1 P 1.53
O 0.8474 0.2856 0.0843  1 P 1.53
O 0.8474 0.2856 0.4157  1 P 1.53
O 0.8606 0.5008 0.7500  1 P 1.55

Properties
- size of the total moment (μB/atom) = 0.000

***

Fermi-level density of states across the listed records, respectively: 2.21 4.92 2.60 8.66 2.50 0.00 states/eV per cell.
VASP energy across the listed records, respectively: -4.225 -9.155 -4.756 -9.025 -4.388 -7.405 eV per atom.